A plane-wave DFT calculation with PBE was carried out for a relaxed AcTlPdRh crystal.

Calculated values
DOS(E_F): 3.11 states/eV/f.u.
DFT total energy: -5.16 eV/atom
Symmetry: F-43m (216)

Geometry as POSCAR:
```
AcTlPdRh
1.0
0.0000 3.5678 3.5678
3.5678 0.0000 3.5678
3.5678 3.5678 0.0000
Ac Tl Pd Rh
1 1 1 1
direct
0.0000 0.0000 0.0000
0.5000 0.5000 0.5000
0.2500 0.2500 0.2500
0.7500 0.7500 0.7500
```

A plane-wave DFT calculation with PBE was carried out for a relaxed ZrInPt crystal.

Calculated values
DOS(E_F): 1.36 states/eV/f.u.
DFT total energy: -6.55 eV/atom
Symmetry: Pmma (51)

Geometry as POSCAR:
```
ZrInPt
1.0
13.3349 0.0000 0.0000
0.0000 3.5646 0.0000
0.0000 0.0000 7.6268
Zr In Pt
6 6 6
direct
0.0534 0.0000 0.2146
0.2500 0.0000 0.8228
0.4466 0.0000 0.2146
0.5534 0.0000 0.7854
0.7500 0.0000 0.1772
0.9466 0.0000 0.7854
0.1072 0.5000 0.5605
0.2500 0.5000 0.1661
0.3928 0.5000 0.5605
0.6072 0.5000 0.4395
0.7500 0.5000 0.8339
0.8928 0.5000 0.4395
0.0939 0.5000 0.9246
0.2500 0.0000 0.4395
0.4061 0.5000 0.9246
0.5939 0.5000 0.0754
0.7500 0.0000 0.5605
0.9061 0.5000 0.0754
```

A plane-wave DFT calculation with PBE was carried out for a relaxed Pr5InBi2 crystal.

Calculated values
DOS(E_F): 8.74 states/eV/f.u.
DFT total energy: -4.62 eV/atom
Symmetry: Cmcm (63)

Geometry as POSCAR:
```
Pr5InBi2
1.0
3.0432 -6.0081 0.0000
3.0432 6.0081 0.0000
0.0000 0.0000 15.1492
Pr In Bi
10 2 4
direct
0.0788 0.9212 0.6027
0.0788 0.9212 0.8973
0.3768 0.6232 0.5493
0.3768 0.6232 0.9507
0.4091 0.5909 0.2500
0.5909 0.4091 0.7500
0.6232 0.3768 0.0493
0.6232 0.3768 0.4507
0.9212 0.0788 0.1027
0.9212 0.0788 0.3973
0.2937 0.7063 0.7500
0.7063 0.2937 0.2500
0.1950 0.8050 0.1149
0.1950 0.8050 0.3851
0.8050 0.1950 0.6149
0.8050 0.1950 0.8851
```

A plane-wave DFT calculation with PBE was carried out for a relaxed Ba8Si43Au3 crystal.

Calculated values
DOS(E_F): 17.65 states/eV/f.u.
DFT total energy: -5.00 eV/atom
Uncorrected formation energy: -0.212 eV/atom
Symmetry: R32 (155)

Geometry as POSCAR:
```
Ba8Si43Au3
1.0
7.3944 4.2692 6.0308
-7.3944 4.2692 6.0308
0.0000 -8.5383 6.0308
Ba Si Au
8 43 3
direct
0.0000 0.2386 0.7614
0.2385 0.7615 0.5000
0.2386 0.7614 0.0000
0.2499 0.2499 0.2499
0.5000 0.2385 0.7615
0.7501 0.7501 0.7501
0.7614 0.0000 0.2386
0.7615 0.5000 0.2385
0.0528 0.8685 0.7482
0.0543 0.6300 0.7481
0.0660 0.0679 0.4369
0.0668 0.0668 0.0668
0.0675 0.4364 0.4366
0.0679 0.4369 0.0660
0.1315 0.9472 0.2518
0.1340 0.5564 0.2515
0.2491 0.5000 0.7509
0.2518 0.1315 0.9472
0.2515 0.1340 0.5564
0.2518 0.3688 0.5576
0.2519 0.3700 0.9457
0.3688 0.5576 0.2518
0.3700 0.9457 0.2519
0.4356 0.4356 0.4356
0.4364 0.4366 0.0675
0.4369 0.0660 0.0679
0.4366 0.0675 0.4364
0.4424 0.6312 0.7482
0.4436 0.8660 0.7485
0.5000 0.7509 0.2491
0.5564 0.2515 0.1340
0.5576 0.2518 0.3688
0.5634 0.5636 0.9325
0.5631 0.9321 0.9340
0.5644 0.5644 0.5644
0.5636 0.9325 0.5634
0.6300 0.7481 0.0543
0.6312 0.7482 0.4424
0.7482 0.0528 0.8685
0.7481 0.0543 0.6300
0.7482 0.4424 0.6312
0.7485 0.4436 0.8660
0.7509 0.2491 0.5000
0.8660 0.7485 0.4436
0.8685 0.7482 0.0528
0.9325 0.5634 0.5636
0.9321 0.9340 0.5631
0.9332 0.9332 0.9332
0.9340 0.5631 0.9321
0.9457 0.2519 0.3700
0.9472 0.2518 0.1315
0.0000 0.7510 0.2490
0.2490 0.0000 0.7510
0.7510 0.2490 0.0000
```

A plane-wave DFT calculation with PBE was carried out for a relaxed LiScAsRh crystal.

Calculated values
DOS(E_F): 0.12 states/eV/f.u.
DFT total energy: -5.90 eV/atom
Symmetry: F-43m (216)

Geometry as POSCAR:
```
LiScAsRh
1.0
0.0000 3.1058 3.1058
3.1058 0.0000 3.1058
3.1058 3.1058 0.0000
Li Sc As Rh
1 1 1 1
direct
0.0000 0.0000 0.0000
0.2500 0.2500 0.2500
0.7500 0.7500 0.7500
0.5000 0.5000 0.5000
```

A plane-wave DFT calculation with PBE was carried out for a relaxed Er2Zn15Ag2 crystal.

Calculated values
DOS(E_F): 5.26 states/eV/f.u.
DFT total energy: -2.00 eV/atom
Symmetry: R-3m (166)

Geometry as POSCAR:
```
Er2Zn15Ag2
1.0
4.5154 2.6070 4.3911
-4.5154 2.6070 4.3911
0.0000 -5.2140 4.3911
Er Zn Ag
2 15 2
direct
0.1586 0.1586 0.1586
0.8414 0.8414 0.8414
0.0000 0.5000 0.5000
0.1461 0.1461 0.6634
0.1461 0.6634 0.1461
0.2013 0.5000 0.7987
0.2013 0.7987 0.5000
0.3366 0.8539 0.8539
0.5000 0.0000 0.5000
0.5000 0.2013 0.7987
0.5000 0.5000 0.0000
0.5000 0.7987 0.2013
0.6634 0.1461 0.1461
0.7987 0.2013 0.5000
0.7987 0.5000 0.2013
0.8539 0.3366 0.8539
0.8539 0.8539 0.3366
0.3924 0.3924 0.3924
0.6076 0.6076 0.6076
```